The following is a DFT calculation (PBE) of crystalline RbZn6Sb4 at its relaxed geometry.

Raw formation energy in eV/f.u.: -0.745
Density of states at the Fermi level in states/eV/cell: 2.93
DFT total energy in eV per atom: -2.35

Lattice parameters (Å, degrees): 4.4764 4.4764 14.9444 98.61 98.61 90.00
Positions (direct):
Zn  0.1296  0.6296  0.2592
Zn  0.2500  0.7500  0.5000
Zn  0.8704  0.3704  0.7408
Zn  0.3704  0.8704  0.7408
Zn  0.6296  0.1296  0.2592
Zn  0.7500  0.2500  0.5000
Sb  0.5772  0.5772  0.1544
Sb  0.1920  0.1920  0.3840
Sb  0.4228  0.4228  0.8456
Sb  0.8080  0.8080  0.6160
Rb  0.0000  0.0000  0.0000